(1)
A plane-wave DFT calculation with PBE-GGA was carried out for crystalline TlGeAu4 at its relaxed geometry.

abc: 7.956 7.956 7.956
angles: 90.00 90.00 90.00
Space group F-43m (No. 216)
Inequivalent atoms, fractional coordinates:
Tl1 0.000 0.000 0.000 [4 per cell]
Ge1 0.250 0.250 0.250 [4 per cell]
Au1 0.125 0.125 0.625 [16 per cell]

distance to the lowest polymorph of the same formula = 124 meV/atom
E_form = 0.15 eV per atom



(2)
A plane-wave DFT calculation with PBE-GGA was carried out for crystalline LiB2C2 at its relaxed geometry.

abc: 14.535 5.411 4.688
angles: 90.00 90.58 90.00
Space group C2 (No. 5)
Inequivalent atoms, fractional coordinates:
Li1 0.000 0.000 0.000 [2 per cell]
Li2 0.000 0.288 0.500 [2 per cell]
Li3 0.250 0.022 0.999 [4 per cell]
B1 0.123 0.273 0.835 [4 per cell]
B2 0.124 0.770 0.833 [4 per cell]
B3 0.127 0.020 0.338 [4 per cell]
B4 0.127 0.523 0.336 [4 per cell]
C1 0.122 0.022 0.673 [4 per cell]
C2 0.125 0.521 0.669 [4 per cell]
C3 0.126 0.271 0.172 [4 per cell]
C4 0.129 0.772 0.168 [4 per cell]

distance to the lowest polymorph of the same formula = 38 meV/atom
E_form = -0.03 eV per atom



(3)
A plane-wave DFT calculation with PBE-GGA was carried out for crystalline CeNd3In3 at its relaxed geometry.

abc: 9.6452 9.6452 5.2973
angles: 90.00 90.00 120.00
Space group P6_3/m (No. 176)
Inequivalent atoms, fractional coordinates:
Ce1 0.3333 0.6667 0.2500 [2 per cell]
Nd1 0.0029 0.2399 0.2500 [6 per cell]
In1 0.0736 0.4581 0.7500 [6 per cell]

E_form = -0.28 eV per atom



(4)
A plane-wave DFT calculation with PBE-GGA was carried out for crystalline SmPbAu4 at its relaxed geometry.

abc: 4.8576 4.8576 6.6003
angles: 90.00 90.00 120.00
Space group P6/mmm (No. 191)
Inequivalent atoms, fractional coordinates:
Sm1 0.0000 0.0000 0.0000 [1 per cell]
Pb1 0.0000 0.0000 0.5000 [1 per cell]
Au1 0.3333 0.6667 0.2415 [4 per cell]

distance to the lowest polymorph of the same formula = 0 meV/atom
E_form = -0.44 eV per atom



Q: The lowest E_form belongs to which entry?
A: SmPbAu4



Q: E_form of number 2 (LiB2C2)?
A: -0.03 eV per atom



Q: E_form of number 2 (LiB2C2)?
A: -0.03 eV per atom